! RbNa2Sn2Br7 (GGA-PBE, optimized geometry); values from VASP
&SYSTEM
  ibrav = 0, nat = 12, ntyp = 4
/
ATOMIC_SPECIES
Na 22.99 Na.upf
Br 79.90 Br.upf
Rb 85.47 Rb.upf
Sn 118.71 Sn.upf
ATOMIC_POSITIONS angstrom
Na 0.2213 -6.6339 1.0594
Br -4.7748 -8.2150 0.9444
Br -1.3146 -6.9887 -1.4733
Br -0.9378 -9.2300 2.2645
Rb 0.4638 -0.2930 -0.2413
Br 1.2644 -3.9544 -0.0872
Br -2.6845 -2.8687 -1.3491
Br 0.5684 -1.8065 -3.6055
Sn -3.1211 -7.8166 3.3944
Sn -0.2369 -4.4491 -2.6165
Na -3.6685 -5.5755 -0.2351
Br -2.1252 -5.2253 2.2937
CELL_PARAMETERS angstrom
-3.1579 -0.9000 -4.9763
4.6529 -2.9392 -2.4211
-4.9132 -8.3884 8.2067
! energy relative to the elements, uncorrected: -1.1948 eV/atom
! total DFT energy (no corrections): -37.66 eV/cell
! ρ: 3.58 g cm⁻³



! Ta2PtPb (GGA-PBE, optimized geometry); values from VASP
&SYSTEM
  ibrav = 0, nat = 4, ntyp = 3
/
ATOMIC_SPECIES
Pt 195.08 Pt.upf
Ta 180.95 Ta.upf
Pb 207.20 Pb.upf
ATOMIC_POSITIONS angstrom
Pt 1.4998 1.4998 6.9695
Ta 0.0000 0.0000 8.7320
Pb 0.0000 0.0000 4.4725
Ta 1.4998 1.4998 1.9826
CELL_PARAMETERS angstrom
2.9996 0.0000 0.0000
0.0000 2.9996 0.0000
0.0000 0.0000 8.8627
! DOS at the Fermi energy: 3.1 states/eV/cell
! total DFT energy (no corrections): -33.35 eV/cell
! ρ: 15.91 g cm⁻³



Please write out number 2 again, unchanged.
! Ta2PtPb (GGA-PBE, optimized geometry); values from VASP
&SYSTEM
  ibrav = 0, nat = 4, ntyp = 3
/
ATOMIC_SPECIES
Pt 195.08 Pt.upf
Ta 180.95 Ta.upf
Pb 207.20 Pb.upf
ATOMIC_POSITIONS angstrom
Pt 1.4998 1.4998 6.9695
Ta 0.0000 0.0000 8.7320
Pb 0.0000 0.0000 4.4725
Ta 1.4998 1.4998 1.9826
CELL_PARAMETERS angstrom
2.9996 0.0000 0.0000
0.0000 2.9996 0.0000
0.0000 0.0000 8.8627
! DOS at the Fermi energy: 3.1 states/eV/cell
! total DFT energy (no corrections): -33.35 eV/cell
! ρ: 15.91 g cm⁻³



> What is the ρ in the first record?

3.58 g cm⁻³